1.
## Si5Hg (PBE)

Data for crystalline Si5Hg at its relaxed geometry.

The structure in extended XYZ format:
```
6
Lattice="-5.9240 -0.8400 -1.5271 4.9740 -3.2474 1.6867 -1.1703 0.4399 4.2982" Properties=species:S:1:pos:R:3 pbc="T T T"
Si -0.0103 -2.0557 2.5385
Hg 4.9415 -3.2402 1.6771
Si 2.6305 -2.6390 3.3173
Si 1.6257 -2.5077 0.6993
Si -4.1156 -1.1488 1.3279
Si -2.4120 -1.6158 -0.4914
```

Calculated values
For the relative energy among the computed polymorphs, the calculation gives 0.62 eV/f.u. The density of states at the Fermi level comes out at 1.412 states/eV per cell. As for the total energy: -0.2950 Ry per atom. The calculation puts the raw formation energy at 0.5554 eV per atom.


2.
## SiHg2 (PBE)

Data for crystalline SiHg2 at its relaxed geometry.

The structure in extended XYZ format:
```
3
Lattice="4.6266 0.0000 0.0000 0.0000 4.6266 0.0000 0.0000 0.0000 3.3853" Properties=species:S:1:pos:R:3 pbc="T T T"
Hg 2.3133 0.0000 1.6926
Si 0.0000 0.0000 0.0000
Hg 0.0000 2.3133 1.6926
```

Calculated values
For the relative energy among the computed polymorphs, the calculation gives 0.63 eV/f.u. The density of states at the Fermi level comes out at 1.169 states/eV per cell. As for the total energy: -0.1192 Ry per atom. The calculation puts the raw formation energy at 0.3872 eV per atom.


3.
## Si2Hg (PBE)

Data for crystalline Si2Hg at its relaxed geometry.

The structure in extended XYZ format:
```
6
Lattice="5.2086 0.0000 0.0000 0.0000 5.2086 0.0000 0.0000 0.0000 5.3388" Properties=species:S:1:pos:R:3 pbc="T T T"
Si 3.4058 1.8028 2.6694
Hg 2.6043 2.6043 0.0000
Si 0.8015 0.8015 0.0000
Si 1.8028 3.4058 2.6694
Si 4.4072 4.4072 0.0000
Hg 0.0000 0.0000 2.6694
```

Calculated values
For the relative energy among the computed polymorphs, the calculation gives 2.00 eV/f.u. The density of states at the Fermi level comes out at 3.643 states/eV per cell. As for the total energy: -0.2012 Ry per atom. The calculation puts the raw formation energy at 0.9785 eV per atom.


4.
## SiHg3 (PBE)

Data for crystalline SiHg3 at its relaxed geometry.

The structure in extended XYZ format:
```
4
Lattice="4.4754 0.0000 0.0000 0.0000 4.4754 0.0000 0.0000 0.0000 4.4754" Properties=species:S:1:pos:R:3 pbc="T T T"
Si 0.0000 0.0000 0.0000
Hg 0.0000 2.2377 2.2377
Hg 2.2377 0.0000 2.2377
Hg 2.2377 2.2377 0.0000
```

Calculated values
For the relative energy among the computed polymorphs, the calculation gives 0.94 eV/f.u. The density of states at the Fermi level comes out at 1.369 states/eV per cell. As for the total energy: -0.0861 Ry per atom. The calculation puts the raw formation energy at 0.4107 eV per atom.


5.
## SiHg2 (PBE)

Data for crystalline SiHg2 at its relaxed geometry.

The structure in extended XYZ format:
```
6
Lattice="0.0000 4.1400 4.1400 4.1400 0.0000 4.1400 4.1400 4.1400 0.0000" Properties=species:S:1:pos:R:3 pbc="T T T"
Hg 3.1050 1.0350 3.1050
Hg 1.0350 1.0350 1.0350
Si 4.1400 4.1400 4.1400
Si 6.2101 6.2101 6.2101
Hg 3.1050 3.1050 1.0350
Hg 1.0350 3.1050 3.1050
```

Calculated values
For the relative energy among the computed polymorphs, the calculation gives 1.63 eV/f.u. The density of states at the Fermi level comes out at 2.494 states/eV per cell. As for the total energy: -0.0948 Ry per atom. The calculation puts the raw formation energy at 0.7187 eV per atom.


6.
## SiHg3 (PBE)

Data for crystalline SiHg3 at its relaxed geometry.

The structure in extended XYZ format:
```
8
Lattice="-1.7108 -2.1156 2.5532 -0.9690 -5.0740 -4.8535 6.3971 -2.9687 1.8265" Properties=species:S:1:pos:R:3 pbc="T T T"
Hg 0.3247 -4.5103 -3.5196
Si 0.1662 -4.2937 -0.7201
Hg 2.9652 -4.1379 -1.4418
Hg 0.8853 -1.5749 -0.7117
Hg 4.1719 -4.9886 1.3881
Si 4.8910 -2.2698 1.3965
Hg 3.7635 -7.1271 -0.6575
Hg 2.0919 -2.4256 2.1181
```

Calculated values
For the relative energy among the computed polymorphs, the calculation gives 0.64 eV/f.u. The density of states at the Fermi level comes out at 2.809 states/eV per cell. As for the total energy: -0.0917 Ry per atom. The calculation puts the raw formation energy at 0.3350 eV per atom.


7.
## Si2Hg (PBE)

Data for crystalline Si2Hg at its relaxed geometry.

The structure in extended XYZ format:
```
3
Lattice="4.6157 0.0000 0.0000 -2.3078 3.9973 0.0000 0.0000 0.0000 3.0718" Properties=species:S:1:pos:R:3 pbc="T T T"
Hg 0.0000 0.0000 0.0000
Si 2.3078 1.3324 1.5325
Si 0.0000 2.6649 1.5392
```

Calculated values
For the relative energy among the computed polymorphs, the calculation gives 0.89 eV/f.u. The density of states at the Fermi level comes out at 1.896 states/eV per cell. As for the total energy: -0.2283 Ry per atom. The calculation puts the raw formation energy at 0.6096 eV per atom.


8.
## SiHg3 (PBE)

Data for crystalline SiHg3 at its relaxed geometry.

The structure in extended XYZ format:
```
4
Lattice="-1.6521 2.3001 0.4154 -2.9385 -2.8292 3.9779 3.6079 1.8699 3.9951" Properties=species:S:1:pos:R:3 pbc="T T T"
Hg 1.0207 1.4540 5.8685
Hg 0.6711 1.9260 1.8655
Si 0.0392 -0.6328 3.6593
Hg 3.2995 1.7100 3.6535
```

Calculated values
For the relative energy among the computed polymorphs, the calculation gives 0.82 eV/f.u. The density of states at the Fermi level comes out at 1.414 states/eV per cell. As for the total energy: -0.0884 Ry per atom. The calculation puts the raw formation energy at 0.3793 eV per atom.


9.
## Si4Hg (PBE)

Data for crystalline Si4Hg at its relaxed geometry.

The structure in extended XYZ format:
```
5
Lattice="-2.8224 2.8095 3.8410 -1.8802 4.7259 -2.1779 -0.3345 -5.2471 -1.7230" Properties=species:S:1:pos:R:3 pbc="T T T"
Si -1.7302 2.7725 0.6119
Si -2.9724 4.7630 1.0512
Si -2.2830 1.6233 -1.5347
Si -2.7541 0.6651 1.4748
Hg 0.0000 0.0000 0.0000
```

Calculated values
For the relative energy among the computed polymorphs, the calculation gives 0.00 eV/f.u. The density of states at the Fermi level comes out at 1.577 states/eV per cell. As for the total energy: -0.3011 Ry per atom. The calculation puts the raw formation energy at 0.3026 eV per atom.


10.
## Si4Hg (PBE)

Data for crystalline Si4Hg at its relaxed geometry.

The structure in extended XYZ format:
```
5
Lattice="-3.0280 -3.9597 -0.4056 1.1428 -0.3766 -4.8543 3.8128 -3.0317 1.1328" Properties=species:S:1:pos:R:3 pbc="T T T"
Si 2.4778 -1.7042 -1.8608
Si 0.0000 0.0000 0.0000
Hg 0.9638 -3.6840 -2.0636
Si -0.9426 -2.1682 -2.6300
Si 0.3924 -3.4957 0.3636
```

Calculated values
For the relative energy among the computed polymorphs, the calculation gives 6.23 eV/f.u. The density of states at the Fermi level comes out at 2.579 states/eV per cell. As for the total energy: -0.2094 Ry per atom. The calculation puts the raw formation energy at 1.5493 eV per atom.


11.
## SiHg2 (PBE)

Data for crystalline SiHg2 at its relaxed geometry.

The structure in extended XYZ format:
```
12
Lattice="-1.8092 -1.5083 6.1747 6.3015 -1.2664 1.5370 0.8324 6.3084 1.7849" Properties=species:S:1:pos:R:3 pbc="T T T"
Si 3.5670 2.5210 1.6610
Hg -0.3085 0.7420 6.1102
Si 2.2462 -1.3874 3.8559
Hg 3.2077 0.4135 5.6314
Hg 0.4279 0.2218 2.6623
Si -0.4884 2.4000 3.9798
Hg 4.8968 3.3119 6.8343
Hg 1.3806 3.6404 7.3131
Si 0.0000 0.0000 0.0000
Hg 5.6333 2.7917 3.3864
Hg 2.1171 3.1202 3.8652
Hg 3.9441 -0.1067 2.1835
```

Calculated values
For the relative energy among the computed polymorphs, the calculation gives 0.45 eV/f.u. The density of states at the Fermi level comes out at 3.590 states/eV per cell. As for the total energy: -0.1237 Ry per atom. The calculation puts the raw formation energy at 0.3254 eV per atom.


12.
## Si7Hg (PBE)

Data for crystalline Si7Hg at its relaxed geometry.

The structure in extended XYZ format:
```
8
Lattice="0.0000 4.0436 4.0436 4.0436 0.0000 4.0436 4.0436 4.0436 0.0000" Properties=species:S:1:pos:R:3 pbc="T T T"
Hg 0.0000 0.0000 0.0000
Si 2.0218 4.0436 2.0218
Si 4.0436 2.0218 2.0218
Si 2.0218 2.0218 4.0436
Si 2.0218 0.0000 2.0218
Si 4.0436 4.0436 4.0436
Si 0.0000 2.0218 2.0218
Si 2.0218 2.0218 0.0000
```

Calculated values
The density of states at the Fermi level comes out at 3.426 states/eV per cell. As for the total energy: -0.3025 Ry per atom. The calculation puts the raw formation energy at 0.6668 eV per atom.